P.
## Tb2SmPb (PBE)

Data for crystalline Tb2SmPb at its relaxed geometry.

Cell and atoms, written as POSCAR:
```
Tb2SmPb
1.0
-4.057 -0.916 0.941
1.837 -3.616 -5.263
2.948 -7.030 5.859
Pb Tb Sm
2 4 2
Cartesian
0.642 -3.757 -0.886
0.085 -7.806 2.424
2.663 -9.659 2.072
1.479 -6.836 -0.282
-0.752 -4.727 1.819
-1.936 -1.903 -0.534
2.189 -5.728 3.858
-1.462 -5.835 -2.321
```

## Properties
Total magnetization (μB per cell): 1.492


Q.
## Tb2SmPb (PBE)

Data for crystalline Tb2SmPb at its relaxed geometry.

Cell and atoms, written as POSCAR:
```
Tb2SmPb
1.0
4.705 0.000 0.000
0.000 4.598 -0.909
0.000 -0.075 11.683
Tb Pb Sm
4 2 2
Cartesian
1.176 4.247 9.382
3.529 0.276 1.392
1.176 2.562 0.872
3.529 1.961 9.902
1.176 0.734 3.745
3.529 3.789 7.029
1.176 1.375 6.912
3.529 3.149 3.862
```

## Properties
Total magnetization (μB per cell): 0.000


Which is the most stable structure? Q is the most stable.


P.
## TbSm2Pb (PBE)

Data for crystalline TbSm2Pb at its relaxed geometry.

Cell and atoms, written as POSCAR:
```
TbSm2Pb
1.0
3.646 0.000 0.000
1.823 3.158 0.000
1.823 1.053 11.158
Sm Tb Pb
2 1 1
Cartesian
1.823 1.053 8.461
1.823 1.053 2.689
3.646 2.105 5.578
3.646 2.105 0.008
```

## Properties
Total magnetization (μB per cell): 0.001


Q.
## TbSm2Pb (PBE)

Data for crystalline TbSm2Pb at its relaxed geometry.

Cell and atoms, written as POSCAR:
```
TbSm2Pb
1.0
5.550 0.000 0.000
2.775 4.807 0.000
2.775 1.602 4.532
Sm Pb Tb
2 1 1
Cartesian
8.325 4.807 3.399
2.775 1.602 1.133
0.000 0.000 0.000
5.550 3.204 2.266
```

## Properties
Total magnetization (μB per cell): 0.494


Which is the most stable structure? P is the most stable.


P.
## TbSm2Pb3 (PBE)

Data for crystalline TbSm2Pb3 at its relaxed geometry.

Cell and atoms, written as POSCAR:
```
TbSm2Pb3
1.0
-1.322 -3.554 4.556
8.601 0.852 0.505
-4.364 7.270 1.748
Sm Pb Tb
4 6 2
Cartesian
7.195 0.496 1.747
4.381 -0.215 4.231
-1.467 4.783 2.577
-4.282 4.072 5.061
1.481 -0.239 2.734
-2.843 1.858 3.152
4.226 5.529 1.592
4.300 0.426 0.252
-1.313 -0.961 5.216
1.433 4.807 4.074
2.875 2.634 2.161
0.038 1.934 4.647
```

## Properties
Total magnetization (μB per cell): 0.000


Q.
## TbSm2Pb3 (PBE)

Data for crystalline TbSm2Pb3 at its relaxed geometry.

Cell and atoms, written as POSCAR:
```
TbSm2Pb3
1.0
-2.545 3.756 0.374
-4.031 -2.814 0.830
3.422 1.611 7.108
Sm Pb Tb
2 3 1
Cartesian
0.941 0.136 5.031
-1.549 -1.340 2.907
-3.288 0.471 0.602
-0.807 1.946 2.677
-2.347 0.607 5.635
0.000 0.000 0.000
```

## Properties
Total magnetization (μB per cell): 0.000


Which is the most stable structure? Q is the most stable.


P.
## Sm4Te3Pb (PBE)

Data for crystalline Sm4Te3Pb at its relaxed geometry.

Cell and atoms, written as POSCAR:
```
Sm4Te3Pb
1.0
-3.188 4.669 -2.821
-2.537 -4.161 -4.020
-1.977 -1.152 7.405
Sm Te Pb
4 3 1
Cartesian
-6.108 -2.979 1.974
-5.314 -0.201 -1.402
-6.434 1.436 2.574
-2.388 -0.443 1.965
-3.688 -2.529 -0.018
-2.862 0.254 -3.420
-4.014 1.885 0.582
0.000 0.000 0.000
```

## Properties
Total magnetization (μB per cell): 0.000


Q.
## Sm4Te3Pb (PBE)

Data for crystalline Sm4Te3Pb at its relaxed geometry.

Cell and atoms, written as POSCAR:
```
Sm4Te3Pb
1.0
-3.066 0.056 -3.267
-2.512 -6.977 2.238
-3.927 5.502 3.781
Pb Sm Te
1 4 3
Cartesian
-1.533 0.028 -1.633
-5.111 2.454 1.767
-4.394 -3.872 0.985
-1.575 -0.361 1.473
-4.863 -1.114 4.546
-1.963 2.751 1.890
-4.752 -0.709 1.376
-1.256 -3.488 1.119
```

## Properties
Total magnetization (μB per cell): 0.000


Which is the most stable structure? P is the most stable.


P.
## SmThPb (PBE)

Data for crystalline SmThPb at its relaxed geometry.

Cell and atoms, written as POSCAR:
```
SmThPb
1.0
-2.667 -2.984 -2.365
2.900 0.279 -3.622
4.749 -6.840 3.275
Pb Th Sm
2 2 2
Cartesian
2.800 -1.804 -0.880
2.066 -6.388 1.162
0.000 0.000 0.000
0.117 -1.352 -2.994
4.523 -4.287 0.308
0.342 -3.905 -0.027
```

## Properties
Total magnetization (μB per cell): 0.390


Q.
## SmThPb (PBE)

Data for crystalline SmThPb at its relaxed geometry.

Cell and atoms, written as POSCAR:
```
SmThPb
1.0
-0.404 3.421 -1.058
-2.854 1.086 4.599
5.484 0.629 -0.059
Sm Pb Th
1 1 1
Cartesian
-0.310 2.929 2.429
2.558 2.026 1.109
-0.021 0.181 -0.056
```

## Properties
Total magnetization (μB per cell): 0.000


R.
## SmThPb (PBE)

Data for crystalline SmThPb at its relaxed geometry.

Cell and atoms, written as POSCAR:
```
SmThPb
1.0
-2.755 1.884 -3.196
3.402 -0.307 -3.113
-3.201 -8.960 0.817
Sm Th Pb
2 2 2
Cartesian
-1.005 -2.855 -0.817
-1.549 -4.529 -4.676
1.701 -0.154 -1.556
-1.377 0.942 -1.598
-0.500 -1.549 -3.823
-2.054 -5.834 -1.669
```

## Properties
Total magnetization (μB per cell): 0.000


S.
## SmThPb (PBE)

Data for crystalline SmThPb at its relaxed geometry.

Cell and atoms, written as POSCAR:
```
SmThPb
1.0
3.340 0.000 0.000
0.000 3.340 0.000
-1.670 -1.670 9.226
Th Pb Sm
1 1 1
Cartesian
0.000 0.000 2.447
1.670 1.670 5.016
1.670 1.670 8.221
```

## Properties
Total magnetization (μB per cell): 0.019


Which is the most stable structure? R is the most stable.


P.
## Sm3TlPb2 (PBE)

Data for crystalline Sm3TlPb2 at its relaxed geometry.

Cell and atoms, written as POSCAR:
```
Sm3TlPb2
1.0
6.511 0.000 0.000
0.000 6.496 -0.041
-3.256 -1.656 8.443
Tl Pb Sm
2 4 6
Cartesian
0.806 1.624 -0.010
5.705 4.872 -0.031
-0.718 4.928 5.664
2.537 3.160 2.718
0.718 1.680 5.685
3.974 -0.088 2.738
0.751 0.088 2.858
4.006 1.504 5.564
2.505 4.752 5.544
-0.751 3.335 2.838
2.412 4.872 -0.031
4.099 1.624 -0.010
```

## Properties
Total magnetization (μB per cell): 0.000


Q.
## Sm3TlPb2 (PBE)

Data for crystalline Sm3TlPb2 at its relaxed geometry.

Cell and atoms, written as POSCAR:
```
Sm3TlPb2
1.0
-3.860 2.737 -0.874
2.151 -0.693 -11.669
-7.341 -10.585 -0.725
Tl Pb Sm
4 8 12
Cartesian
-7.273 -7.495 -11.213
-4.042 -2.061 -8.466
-5.007 -6.481 -4.802
-1.776 -1.047 -2.055
-2.554 1.897 -2.644
-6.495 -10.438 -10.624
-5.828 -8.375 -7.110
-1.252 -3.374 -11.658
-7.798 -5.167 -1.610
-3.168 -5.035 -8.399
-3.222 -0.167 -6.158
-5.882 -3.506 -4.869
-2.700 -3.431 -5.442
-4.441 -3.502 -11.219
-0.957 -1.885 -8.296
-4.723 -1.267 -2.973
-0.395 0.078 -4.632
-4.608 -5.039 -2.049
-8.655 -8.620 -8.636
-1.925 -0.060 -11.553
-8.092 -6.656 -4.973
-4.326 -7.275 -10.295
-7.125 -8.481 -1.715
-6.349 -5.110 -7.826
```

## Properties
Total magnetization (μB per cell): 0.002


Which is the most stable structure? P is the most stable.


P.
## Sm2Tl2Pb (PBE)

Data for crystalline Sm2Tl2Pb at its relaxed geometry.

Cell and atoms, written as POSCAR:
```
Sm2Tl2Pb
1.0
-6.132 -2.855 -2.341
5.848 -1.681 -2.327
-0.921 -3.826 7.077
Sm Tl Pb
4 4 2
Cartesian
0.670 -3.692 -0.167
-3.047 -3.518 -1.587
-1.873 -4.670 2.575
1.843 -4.845 3.995
4.091 -3.440 2.083
-0.270 -3.772 -3.296
-0.934 -4.591 5.705
-5.295 -4.922 0.326
-2.182 -1.865 1.024
-4.871 -4.816 3.712
```

## Properties
Total magnetization (μB per cell): 0.000


Q.
## Sm2Tl2Pb (PBE)

Data for crystalline Sm2Tl2Pb at its relaxed geometry.

Cell and atoms, written as POSCAR:
```
Sm2Tl2Pb
1.0
-2.165 0.105 -4.829
4.807 -2.103 0.700
-5.257 -11.312 2.111
Tl Pb Sm
4 2 4
Cartesian
1.168 -4.195 -0.615
-3.784 -9.115 -1.403
0.000 0.000 0.000
-2.628 -5.656 1.055
-1.314 -2.828 0.528
-3.942 -8.484 1.583
-2.254 -11.559 0.759
-0.666 -8.143 0.121
-0.362 -1.751 -2.777
-1.949 -5.167 -2.140
```

## Properties
Total magnetization (μB per cell): 0.000


Which is the most stable structure? P is the most stable.


P.
## Sm2TmPb2 (PBE)

Data for crystalline Sm2TmPb2 at its relaxed geometry.

Cell and atoms, written as POSCAR:
```
Sm2TmPb2
1.0
4.528 0.000 0.000
0.000 8.193 0.000
0.000 0.000 8.193
Sm Pb Tm
4 4 2
Cartesian
2.264 2.723 1.374
2.264 5.470 6.819
2.264 1.374 5.470
2.264 6.819 2.723
0.000 2.970 7.066
0.000 7.066 5.223
0.000 1.127 2.970
0.000 5.223 1.127
0.000 4.097 4.097
0.000 0.000 0.000
```

## Properties
Total magnetization (μB per cell): 0.000


Q.
## Sm2TmPb2 (PBE)

Data for crystalline Sm2TmPb2 at its relaxed geometry.

Cell and atoms, written as POSCAR:
```
Sm2TmPb2
1.0
-3.729 -0.685 -3.398
4.317 -2.670 -4.199
0.164 -7.980 5.243
Sm Pb Tm
4 4 2
Cartesian
-0.422 -10.601 -1.213
-0.858 -6.728 -1.516
0.981 -0.615 -0.953
3.555 -5.810 -2.729
1.292 -8.099 -3.599
1.403 -4.438 -0.645
2.096 -4.229 -5.261
0.623 -8.323 0.995
-0.150 -3.343 -2.976
2.877 -9.214 -1.299
```

## Properties
Total magnetization (μB per cell): 0.000


Which is the most stable structure? P is the most stable.


P.
## SmTm5Pb6 (PBE)

Data for crystalline SmTm5Pb6 at its relaxed geometry.

Cell and atoms, written as POSCAR:
```
SmTm5Pb6
1.0
-1.718 -5.235 6.610
-0.599 -5.983 -0.969
7.168 -3.933 0.711
Tm Pb Sm
5 6 1
Cartesian
0.951 -8.904 2.722
4.334 -6.605 -0.179
3.899 -6.247 3.630
2.234 -3.311 -0.079
-1.159 -5.609 2.821
3.205 -9.051 4.965
1.645 -6.100 1.387
-0.580 -2.877 1.359
3.750 -9.395 1.288
1.100 -5.756 5.065
-1.737 -8.340 4.282
0.000 0.000 0.000
```

## Properties
Total magnetization (μB per cell): 0.000


Q.
## SmTm5Pb6 (PBE)

Data for crystalline SmTm5Pb6 at its relaxed geometry.

Cell and atoms, written as POSCAR:
```
SmTm5Pb6
1.0
5.643 0.680 0.016
3.664 8.766 0.010
-0.020 0.001 7.102
Sm Pb Tm
1 6 5
Cartesian
0.000 0.000 0.000
2.816 0.340 1.822
5.899 3.518 5.325
6.470 9.106 5.306
3.387 5.928 1.803
3.377 5.928 5.318
5.909 3.518 1.810
3.100 3.143 3.560
6.218 6.312 7.120
-0.010 0.000 3.551
3.069 3.135 0.009
6.186 6.303 3.568
```

## Properties
Total magnetization (μB per cell): 0.000


Which is the most stable structure? P is the most stable.


P.
## Sm2YPb (PBE)

Data for crystalline Sm2YPb at its relaxed geometry.

Cell and atoms, written as POSCAR:
```
Sm2YPb
1.0
3.583 0.000 0.000
1.791 3.103 0.000
1.791 1.034 12.231
Y Sm Pb
1 2 1
Cartesian
3.583 2.069 6.116
1.791 1.034 9.003
5.374 3.103 3.229
0.000 0.000 0.000
```

## Properties
Total magnetization (μB per cell): 0.000


Q.
## Sm2YPb (PBE)

Data for crystalline Sm2YPb at its relaxed geometry.

Cell and atoms, written as POSCAR:
```
Sm2YPb
1.0
3.657 0.000 0.000
1.829 3.167 0.000
1.830 1.056 11.154
Sm Pb Y
2 1 1
Cartesian
1.829 1.056 8.461
1.829 1.056 2.687
3.658 2.112 0.006
3.658 2.112 5.578
```

## Properties
Total magnetization (μB per cell): 0.244


Which is the most stable structure? Q is the most stable.


P.
## Sm2YPb (PBE)

Data for crystalline Sm2YPb at its relaxed geometry.

Cell and atoms, written as POSCAR:
```
Sm2YPb
1.0
4.255 0.000 0.000
-2.127 6.180 0.000
0.000 0.000 9.926
Pb Sm Y
2 4 2
Cartesian
2.127 3.130 7.444
0.000 3.050 2.481
0.000 4.515 9.432
0.000 4.515 5.456
2.128 1.665 0.494
2.128 1.665 4.469
2.127 5.465 2.481
0.000 0.715 7.444
```

## Properties
Total magnetization (μB per cell): 1.455


Q.
## Sm2YPb (PBE)

Data for crystalline Sm2YPb at its relaxed geometry.

Cell and atoms, written as POSCAR:
```
Sm2YPb
1.0
5.016 0.000 0.000
0.000 4.872 0.000
0.000 0.000 4.872
Pb Sm Y
1 2 1
Cartesian
2.508 0.000 0.000
0.000 0.000 2.436
0.000 2.436 0.000
2.508 2.436 2.436
```

## Properties
Total magnetization (μB per cell): 0.000


Which is the most stable structure? Q is the most stable.